# TbEr2Th2

TbEr2Th2 after structural relaxation (GGA-PBE, Alexandria).

Results
The total energy is -5.6891 eV per atom. For the energy above the lowest structure with this stoichiometry, the calculation gives 0 meV/atom. The energy of formation is 0.030 eV per atom. As for the total magnetic moment: 0.000 μB per atom.

Unit cell a=14.5631 b=7.0914 c=6.1749 alpha=90.00 beta=98.21 gamma=90.00
Closest atoms and distances in Å follow each position.
Fractional positions:
Tb (0.1982, 0.1265, 0.1496)  5 Th 3.51-3.58, 5 Er 3.52-3.59, 2 Tb 3.55
Tb (0.1982, 0.3735, 0.6496)  5 Th 3.51-3.58, 5 Er 3.52-3.59, 2 Tb 3.55
Tb (0.8018, 0.6265, 0.3504)  5 Th 3.51-3.58, 5 Er 3.52-3.59, 2 Tb 3.55
Tb (0.8018, 0.8735, 0.8504)  5 Th 3.51-3.58, 5 Er 3.52-3.59, 2 Tb 3.55
Er (0.1968, 0.6230, 0.1480)  4 Th 3.49-3.60, 4 Tb 3.52-3.57, 4 Er 3.57-3.61
Er (0.1968, 0.8770, 0.6480)  4 Th 3.49-3.60, 4 Tb 3.52-3.57, 4 Er 3.57-3.61
Er (0.4018, 0.6249, 0.5492)  6 Th 3.48-3.58, 5 Er 3.49-3.61, 1 Tb 3.59
Er (0.4018, 0.8751, 0.0492)  6 Th 3.48-3.58, 5 Er 3.49-3.61, 1 Tb 3.59
Er (0.5982, 0.1249, 0.9508)  6 Th 3.48-3.58, 5 Er 3.49-3.61, 1 Tb 3.59
Er (0.5982, 0.3751, 0.4508)  6 Th 3.48-3.58, 5 Er 3.49-3.61, 1 Tb 3.59
Er (0.8032, 0.1230, 0.3520)  4 Th 3.49-3.60, 4 Tb 3.52-3.57, 4 Er 3.57-3.61
Er (0.8032, 0.3770, 0.8520)  4 Th 3.49-3.60, 4 Tb 3.52-3.57, 4 Er 3.57-3.61
Th (0.0007, 0.6246, 0.7491)  3 Er 3.49-3.50, 3 Tb 3.51-3.52, 6 Th 3.55-3.57
Th (0.0007, 0.8754, 0.2491)  3 Er 3.49-3.50, 3 Tb 3.51-3.52, 6 Th 3.55-3.57
Th (0.4019, 0.1289, 0.5503)  7 Er 3.48-3.60, 3 Th 3.52-3.53, 2 Tb 3.56-3.58
Th (0.4019, 0.3711, 0.0503)  7 Er 3.48-3.60, 3 Th 3.52-3.53, 2 Tb 3.56-3.58
Th (0.5981, 0.6289, 0.9497)  7 Er 3.48-3.60, 3 Th 3.52-3.53, 2 Tb 3.56-3.58
Th (0.5981, 0.8711, 0.4497)  7 Er 3.48-3.60, 3 Th 3.52-3.53, 2 Tb 3.56-3.58
Th (0.9993, 0.1246, 0.7509)  3 Er 3.49-3.50, 3 Tb 3.51-3.52, 6 Th 3.55-3.57
Th (0.9993, 0.3754, 0.2509)  3 Er 3.49-3.50, 3 Tb 3.51-3.52, 6 Th 3.55-3.57